1.
The following is a DFT calculation (GGA-PBE) of Sr3Tl3Sn2 after structural relaxation.

Results
DFT formation energy (eV per atom): -0.4332
Final energy (eV/atom): -2.9520
Calculated volume (Å³/cell): 535
Space-group type: Cmcm (63)

Cell: 6.700 6.700 17.636 Å, 90.00 90.00 137.47°
Sites, in units of the cell vectors:
Sr 0.068 0.932 0.609
Sr 0.068 0.932 0.891
Sr 0.344 0.656 0.750
Sr 0.656 0.344 0.250
Sr 0.932 0.068 0.109
Sr 0.932 0.068 0.391
Tl 0.365 0.635 0.529
Tl 0.365 0.635 0.971
Tl 0.386 0.614 0.250
Tl 0.614 0.386 0.750
Tl 0.635 0.365 0.029
Tl 0.635 0.365 0.471
Sn 0.218 0.782 0.121
Sn 0.218 0.782 0.379
Sn 0.782 0.218 0.621
Sn 0.782 0.218 0.879

***

2.
The following is a DFT calculation (GGA-PBE) of Sr2PdPtO4 after structural relaxation.

Results
Final energy (eV/atom): -5.6760
Formation energy (no corrections) (eV/atom): -1.37
Calculated volume (Å³/cell): 124
Space-group type: I-4 (82)

Cell: 5.446 5.446 5.446 Å, 111.24 111.24 106.00°
Sites, in units of the cell vectors:
Sr 0.000 0.000 0.000
Sr 0.750 0.250 0.500
Pd 0.500 0.500 0.000
Pt 0.250 0.750 0.500
O 0.091 0.044 0.592
O 0.452 0.499 0.408
O 0.501 0.909 0.953
O 0.956 0.548 0.047

***

3.
The following is a DFT calculation (GGA-PBE) of ReINF2 after structural relaxation.

Results
Final energy (eV/atom): -5.3840
Formation energy (no corrections) (eV/atom): -0.17
Polymorph energy (0 for the lowest one) (meV/atom): 0
Calculated volume (Å³/cell): 74
Space-group type: P4/mmm (123)

Cell: 4.363 4.363 3.877 Å, 90.00 90.00 90.00°
Sites, in units of the cell vectors:
Re 0.000 0.000 0.000
I 0.500 0.500 0.500
N 0.000 0.000 0.500
F 0.000 0.500 0.000
F 0.500 0.000 0.000

***

4.
The following is a DFT calculation (GGA-PBE) of Ca3VB after structural relaxation.

Results
DFT formation energy (eV per atom): 1.5098
Final energy (eV/atom): -2.8504
Polymorph energy (0 for the lowest one) (meV/atom): 833
Calculated volume (Å³/cell): 181
Space-group type: Pm-3m (221)

Cell: 5.654 5.654 5.654 Å, 90.00 90.00 90.00°
Sites, in units of the cell vectors:
Ca 0.000 0.000 0.500
Ca 0.000 0.500 0.000
Ca 0.500 0.000 0.000
V 0.000 0.000 0.000
B 0.500 0.500 0.500

***

5.
The following is a DFT calculation (GGA-PBE) of Pm2YPt9 after structural relaxation.

Results
DFT formation energy (eV per atom): -0.9139
Final energy (eV/atom): -6.7750
Calculated volume (Å³/cell): 229
Space-group type: R-3m (166)

Cell: 9.462 9.462 9.462 Å, 33.40 33.40 33.40°
Sites, in units of the cell vectors:
Pm 0.139 0.139 0.139
Pm 0.861 0.861 0.861
Y 0.000 0.000 0.000
Pt 0.081 0.586 0.586
Pt 0.333 0.333 0.333
Pt 0.414 0.414 0.919
Pt 0.414 0.919 0.414
Pt 0.500 0.500 0.500
Pt 0.586 0.081 0.586
Pt 0.586 0.586 0.081
Pt 0.667 0.667 0.667
Pt 0.919 0.414 0.414

***

6.
The following is a DFT calculation (GGA-PBE) of BIrAu after structural relaxation.

Results
DFT formation energy (eV per atom): 0.1693
Final energy (eV/atom): -6.1027
Calculated volume (Å³/cell): 44
Space-group type: Cm (8)

Cell: 3.395 3.395 5.204 Å, 103.80 103.80 49.38°
Sites, in units of the cell vectors:
B 0.000 0.000 0.000
Ir 0.254 0.254 0.826
Au 0.531 0.531 0.361

***

7.
The following is a DFT calculation (GGA-PBE) of Tm3TiO after structural relaxation.

Results
Final energy (eV/atom): -6.3095
Formation energy (no corrections) (eV/atom): -1.06
Calculated volume (Å³/cell): 104
Space-group type: Pm-3m (221)

Cell: 4.709 4.709 4.709 Å, 90.00 90.00 90.00°
Sites, in units of the cell vectors:
Tm 0.000 0.000 0.500
Tm 0.000 0.500 0.000
Tm 0.500 0.000 0.000
Ti 0.500 0.500 0.500
O 0.000 0.000 0.000

***

8.
The following is a DFT calculation (GGA-PBE) of HoInHgPb after structural relaxation.

Results
DFT formation energy (eV per atom): -0.1695
Final energy (eV/atom): -3.0011
Polymorph energy (0 for the lowest one) (meV/atom): 174
Calculated volume (Å³/cell): 110
Space-group type: F-43m (216)

Cell: 5.376 5.376 5.376 Å, 60.00 60.00 60.00°
Sites, in units of the cell vectors:
Ho 0.000 0.000 0.000
In 0.250 0.250 0.250
Hg 0.750 0.750 0.750
Pb 0.500 0.500 0.500

***

9.
The following is a DFT calculation (GGA-PBE) of Al2InH2 after structural relaxation.

Results
Final energy (eV/atom): -3.1436
Polymorph energy (0 for the lowest one) (meV/atom): 0
Calculated volume (Å³/cell): 67
Space-group type: I4/mmm (139)

Cell: 6.716 6.716 6.716 Å, 151.96 151.96 40.07°
Sites, in units of the cell vectors:
Al 0.158 0.158 0.000
Al 0.842 0.842 0.000
In 0.500 0.500 0.000
H 0.250 0.750 0.500
H 0.750 0.250 0.500

***

10.
The following is a DFT calculation (GGA-PBE) of Ac2Nd2Te5 after structural relaxation.

Results
Final energy (eV/atom): -5.0786
Formation energy (no corrections) (eV/atom): -1.36
Calculated volume (Å³/cell): 325
Space-group type: C2/m (12)

Cell: 9.221 9.221 6.561 Å, 110.24 110.24 38.82°
Sites, in units of the cell vectors:
Ac 0.101 0.101 0.327
Ac 0.899 0.899 0.673
Nd 0.328 0.328 0.041
Nd 0.672 0.672 0.959
Te 0.126 0.126 0.851
Te 0.310 0.310 0.514
Te 0.500 0.500 0.000
Te 0.690 0.690 0.486
Te 0.874 0.874 0.149

***

11.
The following is a DFT calculation (GGA-PBE) of Ce4HgAu3 after structural relaxation.

Results
DFT formation energy (eV per atom): -0.5079
Final energy (eV/atom): -4.7416
Polymorph energy (0 for the lowest one) (meV/atom): 15
Calculated volume (Å³/cell): 207
Space-group type: Pmmm (47)

Cell: 3.582 5.375 10.732 Å, 90.00 90.00 90.00°
Sites, in units of the cell vectors:
Ce 0.000 0.000 0.000
Ce 0.000 0.000 0.500
Ce 0.000 0.500 0.240
Ce 0.000 0.500 0.760
Hg 0.500 0.500 0.500
Au 0.500 0.000 0.254
Au 0.500 0.000 0.746
Au 0.500 0.500 0.000

***

12.
The following is a DFT calculation (GGA-PBE) of La3Sn2H after structural relaxation.

Results
Final energy (eV/atom): -5.0142
Calculated volume (Å³/cell): 346
Space-group type: C2/c (15)

Cell: 6.878 6.878 9.006 Å, 103.25 103.25 57.33°
Sites, in units of the cell vectors:
La 0.145 0.855 0.750
La 0.229 0.481 0.346
La 0.481 0.229 0.846
La 0.519 0.771 0.154
La 0.771 0.519 0.654
La 0.855 0.145 0.250
Sn 0.016 0.283 0.007
Sn 0.283 0.016 0.507
Sn 0.717 0.984 0.493
Sn 0.984 0.717 0.993
H 0.492 0.508 0.750
H 0.508 0.492 0.250